(1)
Material: ZrCd2Ga
Method: DFT, PBE-GGA
State: relaxed

* M_tot: 0.014 μB per cell

a = 4.854 Å, b = 4.854 Å, c = 4.854 Å
α = 60.00°, β = 60.00°, γ = 60.00°
Fractional coordinates of all 4 atoms:
Zr1 0.000 0.000 0.000
Cd1 0.250 0.250 0.250
Cd2 0.500 0.500 0.500
Ga1 0.750 0.750 0.750


(2)
Material: CuReGeAu
Method: DFT, PBE-GGA
State: relaxed

* M_tot: 0.027 μB per cell

a = 4.413 Å, b = 4.413 Å, c = 4.413 Å
α = 60.00°, β = 60.00°, γ = 60.00°
Fractional coordinates of all 4 atoms:
Cu1 0.000 0.000 0.000
Re1 0.500 0.500 0.500
Ge1 0.750 0.750 0.750
Au1 0.250 0.250 0.250


(3)
Material: LiCu4Se4
Method: DFT, PBE-GGA
State: relaxed

a = 3.974 Å, b = 3.974 Å, c = 12.186 Å
α = 90.00°, β = 90.00°, γ = 120.00°
Fractional coordinates of all 9 atoms:
Li1 0.000 0.000 0.000
Cu1 0.333 0.667 0.335
Cu2 0.333 0.667 0.812
Cu3 0.667 0.333 0.188
Cu4 0.667 0.333 0.665
Se1 0.000 0.000 0.400
Se2 0.000 0.000 0.600
Se3 0.333 0.667 0.134
Se4 0.667 0.333 0.866


(4)
Material: ReAgOs
Method: DFT, PBE-GGA
State: relaxed

* M_tot: 0.000 μB per cell
* formation energy: 99.2 kJ per mole of atoms

a = 4.252 Å, b = 4.252 Å, c = 4.252 Å
α = 60.00°, β = 60.00°, γ = 60.00°
Fractional coordinates of all 3 atoms:
Re1 0.000 0.000 0.000
Ag1 0.500 0.500 0.500
Os1 0.750 0.750 0.750


| no. | energy (eV/cell) |
| --- | --- |
| 1 | -13.34 |
| 2 | -22.21 |
| 3 | -33.57 |
| 4 | -23.39 |